A plane-wave DFT calculation with PBE-GGA was carried out for Sr3Pm3CuS8 after structural relaxation.

abc: 8.2770 8.0967 8.2687
angles: 118.94 90.00 120.74
Fractional coordinates of all 15 atoms:
Sr: 0.0000 0.0000 0.0000
Sr: 0.0000 0.5000 0.0000
Sr: 0.5000 0.5000 0.0000
Pm: 0.5000 0.0000 0.5000
Pm: 0.5000 0.5000 0.5000
Pm: 0.0000 0.5000 0.5000
Cu: 0.0000 0.0000 0.5000
S: 0.2540 0.5080 0.2639
S: 0.7460 0.4920 0.7361
S: 0.7917 0.5834 0.3041
S: 0.2083 0.4166 0.6959
S: 0.7449 0.0166 0.2616
S: 0.2551 0.9834 0.7384
S: 0.2715 0.0166 0.2617
S: 0.7285 0.9834 0.7383

Computed properties:
Its crystal system is monoclinic. For the volume, the calculation gives 393.61 Å³/cell. The calculation puts the uncorrected formation energy at -1770 meV/atom.



A plane-wave DFT calculation with PBE-GGA was carried out for TbPmCu2S4 after structural relaxation.

abc: 6.5346 6.0083 6.0083
angles: 66.98 57.06 57.06
Fractional coordinates of all 8 atoms:
Tb: 0.5000 0.5000 0.5000
Pm: 0.0000 0.0000 0.0000
Cu: 0.1700 0.3300 0.3300
Cu: 0.8300 0.6700 0.6700
S: 0.4449 0.0732 0.5330
S: 0.0511 0.9268 0.4670
S: 0.9489 0.5330 0.0732
S: 0.5551 0.4670 0.9268

Computed properties:
Its crystal system is orthorhombic. For the volume, the calculation gives 164.61 Å³/cell. The calculation puts the uncorrected formation energy at -1206 meV/atom.



A plane-wave DFT calculation with PBE-GGA was carried out for Tb2PmCuS5 after structural relaxation.

abc: 3.8384 9.1551 11.1901
angles: 90.00 90.00 102.10
Fractional coordinates of all 18 atoms:
Tb: 0.8884 0.7767 0.8091
Tb: 0.0942 0.1884 0.6830
Tb: 0.1116 0.2233 0.3091
Tb: 0.9058 0.8116 0.1830
Pm: 0.8041 0.6082 0.5094
Pm: 0.1959 0.3918 0.0094
Cu: 0.5622 0.1243 0.9524
Cu: 0.4378 0.8757 0.4524
S: 0.3592 0.7183 0.0040
S: 0.6715 0.3430 0.8333
S: 0.4964 0.9929 0.7793
S: 0.2996 0.5992 0.6912
S: 0.9548 0.9097 0.5622
S: 0.6408 0.2817 0.5040
S: 0.3285 0.6570 0.3333
S: 0.5036 0.0071 0.2793
S: 0.7004 0.4008 0.1912
S: 0.0452 0.0903 0.0622

Computed properties:
Its crystal system is orthorhombic. For the volume, the calculation gives 384.49 Å³/cell. The calculation puts the uncorrected formation energy at -1694 meV/atom.